A plane-wave DFT calculation with GGA-PBE was carried out for a geometry-optimized BePb structure.

CIF file:
```
data_BePb
_chemical_formula_sum 'Be4 Pb4'
_space_group_name_H-M_alt 'P 1'
_space_group_IT_number 1
_cell_length_a 8.401
_cell_length_b 4.531
_cell_length_c 4.530
_cell_angle_alpha 90.00
_cell_angle_beta 90.21
_cell_angle_gamma 90.00
loop_
_space_group_symop_operation_xyz
'x,y,z'
loop_
_atom_site_label
_atom_site_fract_x
_atom_site_fract_y
_atom_site_fract_z
Pb1 0.716 0.915 0.998
Pb2 0.284 0.915 0.002
Be1 0.000 0.165 0.750
Be2 0.000 0.165 0.250
Be3 0.000 0.665 0.250
Be4 0.000 0.665 0.750
Pb3 0.716 0.415 0.498
Pb4 0.284 0.415 0.502
```

distance to the lowest polymorph of the same formula = 0.1775 eV per atom
crystal system = monoclinic
ΔH_f (0 K) = 0.4811 eV/atom